VASP calculation (PBE-GGA) on a relaxed structure of TlCuNiAu.

Computed properties:
E_form = 0.161 eV per atom
Symmetry = No. 216
Final energy = -3.719 eV/atom

Unit cell a=4.4844 b=4.4844 c=4.4844 alpha=60.00 beta=60.00 gamma=60.00
Sites, in units of the cell vectors:
Ni (0.7500, 0.7500, 0.7500)
Tl (0.0000, 0.0000, 0.0000)
Au (0.5000, 0.5000, 0.5000)
Cu (0.2500, 0.2500, 0.2500)